# 1
{"formula": "BiMo2O7", "functional": "GGA+U", "state": "optimized geometry", "lattice": [[-0.803, -2.982, 2.209], [2.275, -3.662, -4.118], [3.949, 1.923, 4.031]], "species": ["O", "O", "O", "O", "O", "O", "O", "Mo", "Mo", "Bi"], "frac_coords": [[0.500, 0.957, 0.680], [0.500, 0.320, 0.043], [0.000, 0.300, 0.700], [0.500, 0.043, 0.320], [0.500, 0.500, 0.500], [0.000, 0.700, 0.300], [0.500, 0.680, 0.957], [0.500, 0.309, 0.691], [0.500, 0.691, 0.309], [0.000, 0.000, 0.000]], "final_energy_ev_per_atom": -6.661, "space_group": "Cmmm, No. 65"}

# 2
{"formula": "BiMo2O", "functional": "GGA+U", "state": "optimized geometry", "lattice": [[0.000, 3.422, 3.422], [3.422, 0.000, 3.422], [3.422, 3.422, 0.000]], "species": ["Mo", "Mo", "Bi", "O"], "frac_coords": [[0.250, 0.250, 0.250], [0.750, 0.750, 0.750], [0.500, 0.500, 0.500], [0.000, 0.000, 0.000]], "final_energy_ev_per_atom": -4.895, "polymorph_energy_mev_per_atom": 705, "space_group": "Fm-3m, No. 225"}

# 3
{"formula": "BiMo2O", "functional": "GGA+U", "state": "optimized geometry", "lattice": [[5.649, 0.000, 0.000], [0.000, 5.649, 0.000], [2.824, 2.824, 6.100]], "species": ["Mo", "Mo", "Mo", "Mo", "Bi", "Bi", "O", "O"], "frac_coords": [[0.275, 0.625, 0.250], [0.875, 0.725, 0.750], [0.375, 0.525, 0.750], [0.475, 0.125, 0.250], [0.750, 0.250, 0.500], [0.000, 0.000, 0.000], [0.500, 0.500, 0.000], [0.250, 0.750, 0.500]], "final_energy_ev_per_atom": -5.600, "polymorph_energy_mev_per_atom": 0, "space_group": "I-42d, No. 122"}

# 4
{"formula": "Bi2MoO6", "functional": "GGA+U", "state": "optimized geometry", "lattice": [[-5.028, 1.429, 2.028], [-1.699, -5.357, -0.439], [5.398, -2.982, 15.482]], "species": ["Bi", "Bi", "Bi", "Bi", "Bi", "Bi", "Bi", "Bi", "O", "O", "O", "O", "O", "O", "O", "O", "O", "O", "O", "O", "O", "O", "O", "O", "O", "O", "O", "O", "O", "O", "O", "O", "Mo", "Mo", "Mo", "Mo"], "frac_coords": [[0.026, 0.045, 0.924], [0.526, 0.045, 0.076], [0.026, 0.567, 0.424], [0.974, 0.067, 0.576], [0.974, 0.545, 0.076], [0.474, 0.067, 0.424], [0.526, 0.567, 0.576], [0.474, 0.545, 0.924], [0.261, 0.787, 0.502], [0.596, 0.420, 0.146], [0.262, 0.692, 0.722], [0.404, 0.920, 0.854], [0.738, 0.192, 0.278], [0.238, 0.192, 0.722], [0.761, 0.787, 0.498], [0.238, 0.765, 0.001], [0.239, 0.287, 0.502], [0.897, 0.438, 0.647], [0.739, 0.287, 0.498], [0.795, 0.744, 0.779], [0.762, 0.692, 0.278], [0.262, 0.265, 0.001], [0.205, 0.244, 0.221], [0.904, 0.920, 0.146], [0.705, 0.244, 0.779], [0.762, 0.265, 0.999], [0.397, 0.438, 0.353], [0.096, 0.420, 0.854], [0.603, 0.938, 0.647], [0.295, 0.744, 0.221], [0.103, 0.938, 0.353], [0.738, 0.765, 0.999], [0.995, 0.019, 0.249], [0.005, 0.519, 0.751], [0.495, 0.019, 0.751], [0.505, 0.519, 0.249]], "final_energy_ev_per_atom": -6.411, "space_group": "Pca2_1, No. 29"}